[1]
The following is a PBE calculation of an optimized crystal structure of ReTcOs2, from Alexandria.

```
data_ReTcOs2
_chemical_formula_sum 'Re2 Tc2 Os4'
_cell_length_a 2.738
_cell_length_b 4.334
_cell_length_c 10.670
_cell_angle_alpha 90.00
_cell_angle_beta 90.00
_cell_angle_gamma 90.00
_space_group_name_H-M_alt 'I m m 2'
_space_group_IT_number 44
_space_group_name_Hall 'I 2 -2'
loop_
_atom_site_label
_atom_site_type_symbol
_atom_site_fract_x
_atom_site_fract_y
_atom_site_fract_z
Re1 Re 0.000 0.000 0.000
Tc1 Tc 0.000 0.500 0.274
Os1 Os 0.000 0.000 0.430
Os2 Os 0.000 0.500 0.709
```

Values from the calculation:
**ΔE_f**: 37 kJ/mol of atoms
**Electronic total energy**: -87.5 eV for the cell shown
**E above lowest polymorph**: 0.475 eV per atom
**Density of states at the Fermi level**: 6.7 states/eV/cell

[2]
The following is a PBE calculation of an optimized crystal structure of ReTc2Os, from Alexandria.

```
data_ReTc2Os
_chemical_formula_sum 'Re4 Tc8 Os4'
_cell_length_a 6.193
_cell_length_b 6.193
_cell_length_c 6.193
_cell_angle_alpha 90.00
_cell_angle_beta 90.00
_cell_angle_gamma 90.00
_space_group_name_H-M_alt 'F -4 3 m'
_space_group_IT_number 216
_space_group_name_Hall 'F -4 2 3'
loop_
_atom_site_label
_atom_site_type_symbol
_atom_site_fract_x
_atom_site_fract_y
_atom_site_fract_z
Re1 Re 0.000 0.000 0.000
Tc1 Tc 0.000 0.000 0.500
Tc2 Tc 0.250 0.250 0.250
Os1 Os 0.250 0.250 0.750
```

Values from the calculation:
**ΔE_f**: 40 kJ/mol of atoms
**Electronic total energy**: -171.0 eV for the cell shown
**E above lowest polymorph**: 0.467 eV per atom
**Density of states at the Fermi level**: 25.4 states/eV/cell